Entry 1:
First-principles (PBE-GGA) data for a relaxed CaCu2Au2 crystal, as listed in the Alexandria database.

Results
Fermi-level density of states in states/eV/atom: 0.501
Space group: I4/mmm
Formation energy in eV/atom: -0.32
V in Å³/f.u.: 96.0
Distance to the lowest polymorph of the same formula in meV per atom: 0

Unit cell a=6.904 b=6.904 c=6.904 alpha=147.23 beta=147.23 gamma=47.02
Positions (direct):
Ca: 0.000 0.000 0.000
Cu: 0.250 0.750 0.500
Cu: 0.750 0.250 0.500
Au: 0.390 0.390 0.000
Au: 0.610 0.610 0.000

---

Entry 2:
First-principles (PBE-GGA) data for a relaxed Ca3Cu2Au9 crystal, as listed in the Alexandria database.

Results
Fermi-level density of states in states/eV/atom: 0.216
Space group: Immm
Formation energy in eV/atom: -0.45
V in Å³/f.u.: 291.6

Unit cell a=8.597 b=8.597 c=8.597 alpha=151.32 beta=102.24 gamma=84.88
Positions (direct):
Ca: 0.000 0.000 0.000
Ca: 0.306 0.306 0.000
Ca: 0.694 0.694 0.000
Cu: 0.303 0.500 0.803
Cu: 0.697 0.500 0.197
Au: 0.031 0.657 0.374
Au: 0.164 0.876 0.288
Au: 0.283 0.657 0.626
Au: 0.412 0.124 0.288
Au: 0.500 0.000 0.500
Au: 0.588 0.876 0.712
Au: 0.717 0.343 0.374
Au: 0.836 0.124 0.712
Au: 0.969 0.343 0.626

---

Entry 3:
First-principles (PBE-GGA) data for a relaxed CaCu2Au2 crystal, as listed in the Alexandria database.

Results
Fermi-level density of states in states/eV/atom: 0.370
Space group: P4/mbm
Formation energy in eV/atom: -0.19
V in Å³/f.u.: 89.5
Distance to the lowest polymorph of the same formula in meV per atom: 125

Unit cell a=7.635 b=7.635 c=3.072 alpha=90.00 beta=90.00 gamma=90.00
Positions (direct):
Ca: 0.000 0.000 0.000
Ca: 0.500 0.500 0.000
Cu: 0.159 0.341 0.500
Cu: 0.341 0.841 0.500
Cu: 0.659 0.159 0.500
Cu: 0.841 0.659 0.500
Au: 0.137 0.637 0.000
Au: 0.363 0.137 0.000
Au: 0.637 0.863 0.000
Au: 0.863 0.363 0.000